# 1
SiTeO2 (PBE-GGA, optimized geometry); distance to the lowest polymorph of the same formula = 0 meV/atom; E_form (uncorrected) = -1.526 eV per atom; space group = Fd-3m (227)
1.0
0.0000 3.8469 3.8469
3.8469 0.0000 3.8469
3.8469 3.8469 0.0000
Si Te O
2 2 4
Direct
0.1250 0.1250 0.1250 Si
0.8750 0.8750 0.8750 Si
0.3750 0.3750 0.3750 Te
0.6250 0.6250 0.6250 Te
0.0000 0.0000 0.0000 O
0.0000 0.0000 0.5000 O
0.0000 0.5000 0.0000 O
0.5000 0.0000 0.0000 O

---

# 2
SiTeO (PBE-GGA, optimized geometry); E_form (uncorrected) = -0.665 eV per atom; space group = Amm2 (38)
1.0
12.5867 0.0000 0.0000
0.0000 1.3514 4.3503
0.0000 -1.3514 4.3503
Si Te O
2 2 2
Direct
0.0000 0.0000 0.0000 Si
0.5000 0.3510 0.3510 Si
0.3351 0.1719 0.1719 Te
0.6649 0.1719 0.1719 Te
0.0905 0.5002 0.5002 O
0.9095 0.5002 0.5002 O